Entry 1:
A plane-wave DFT calculation with PBE-GGA was carried out for AlRu2Br after structural relaxation.

As for the magnetic moment: 1.2 Bohr magnetons per cell. The uncorrected formation energy is 12.708 kcal/mol of atoms.

a = 3.0065 Å, b = 5.1806 Å, c = 8.4995 Å
α = 90.00°, β = 90.00°, γ = 90.00°
Last column: nearest neighbours and their distance in Å.
Space group Cmm2 (No. 35)
Asymmetric unit:
Al: 0.0000 0.0000 0.0000 (multiplicity 2)  2 Ru 2.46, 2 Br 2.64
Ru: 0.0000 0.0000 0.5231 (multiplicity 2)  2 Ru 2.59, 2 Br 2.72
Ru: 0.0000 0.5000 0.7706 (multiplicity 2)  2 Al 2.46, 2 Ru 2.59
Br: 0.0000 0.5000 0.2559 (multiplicity 2)  2 Al 2.64, 2 Ru 2.72

---

Entry 2:
A plane-wave DFT calculation with PBE-GGA was carried out for AlRu2Br after structural relaxation.

As for the magnetic moment: 0.0 Bohr magnetons per cell. The uncorrected formation energy is 9.954 kcal/mol of atoms.

a = 2.9869 Å, b = 4.3467 Å, c = 9.4875 Å
α = 90.00°, β = 90.00°, γ = 90.00°
Last column: nearest neighbours and their distance in Å.
Space group Imm2 (No. 44)
Asymmetric unit:
Al: 0.0000 0.0000 0.0000 (multiplicity 2)  6 Ru 2.64-2.77
Ru: 0.0000 0.0000 0.4956 (multiplicity 2)  2 Br 2.61, 4 Al 2.64, 2 Ru 2.88
Ru: 0.0000 0.5000 0.2546 (multiplicity 2)  4 Br 2.64, 2 Al 2.77, 2 Ru 2.88
Br: 0.0000 0.5000 0.7701 (multiplicity 2)  6 Ru 2.61-2.64

---

Entry 3:
A plane-wave DFT calculation with PBE-GGA was carried out for AlRu3Br after structural relaxation.

As for the magnetic moment: 0.7 Bohr magnetons per cell. The uncorrected formation energy is 31.724 kcal/mol of atoms.

a = 4.5194 Å, b = 4.5194 Å, c = 4.5194 Å
α = 90.00°, β = 90.00°, γ = 90.00°
Last column: nearest neighbours and their distance in Å.
Space group Pm-3m (No. 221)
Asymmetric unit:
Al: 0.0000 0.0000 0.0000 (multiplicity 1)  12 Ru 3.20
Ru: 0.0000 0.5000 0.5000 (multiplicity 3)  2 Br 2.26
Br: 0.5000 0.5000 0.5000 (multiplicity 1)  6 Ru 2.26

---

Entry 4:
A plane-wave DFT calculation with PBE-GGA was carried out for Al2RuBr after structural relaxation.

As for the magnetic moment: 0.0 Bohr magnetons per cell. The uncorrected formation energy is 7.723 kcal/mol of atoms.

a = 4.0449 Å, b = 4.0449 Å, c = 7.9675 Å
α = 90.00°, β = 90.00°, γ = 90.00°
Last column: nearest neighbours and their distance in Å.
Space group I4/mmm (No. 139)
Asymmetric unit:
Al: 0.0000 0.5000 0.2500 (multiplicity 4)  4 Br 2.84, 4 Ru 2.84, 4 Al 2.86
Ru: 0.0000 0.0000 0.0000 (multiplicity 2)  8 Al 2.84, 4 Br 2.86
Br: 0.0000 0.0000 0.5000 (multiplicity 2)  8 Al 2.84, 4 Ru 2.86

---

Entry 5:
A plane-wave DFT calculation with PBE-GGA was carried out for Al2RuBr after structural relaxation.

As for the magnetic moment: 0.0 Bohr magnetons per cell. The uncorrected formation energy is -5.646 kcal/mol of atoms.

a = 3.2125 Å, b = 3.2125 Å, c = 23.4809 Å
α = 90.00°, β = 90.00°, γ = 120.00°
Last column: nearest neighbours and their distance in Å.
Space group R-3m (No. 166, hexagonal axes)
Asymmetric unit:
Al: 0.0000 0.0000 0.2393 (multiplicity 6)  3 Ru 2.52
Ru: 0.0000 0.0000 0.5000 (multiplicity 3)  6 Al 2.52
Br: 0.0000 0.0000 0.0000 (multiplicity 3)  6 Al 2.88, 6 Br 3.21

---

Entry 6:
A plane-wave DFT calculation with PBE-GGA was carried out for Al2RuBr after structural relaxation.

As for the magnetic moment: 0.0 Bohr magnetons per cell. The uncorrected formation energy is -5.681 kcal/mol of atoms.

a = 3.0921 Å, b = 3.0921 Å, c = 7.4541 Å
α = 90.00°, β = 90.00°, γ = 90.00°
Last column: nearest neighbours and their distance in Å.
Space group P4/mmm (No. 123)
Asymmetric unit:
Al: 0.0000 0.0000 0.1875 (multiplicity 2)  4 Ru 2.59, 1 Al 2.79
Ru: 0.5000 0.5000 0.0000 (multiplicity 1)  8 Al 2.59
Br: 0.5000 0.5000 0.5000 (multiplicity 1)  4 Br 3.09, 8 Al 3.19

---

Entry 7:
A plane-wave DFT calculation with PBE-GGA was carried out for Al2RuBr after structural relaxation.

As for the magnetic moment: 0.0 Bohr magnetons per cell. The uncorrected formation energy is 3.976 kcal/mol of atoms.

a = 3.1702 Å, b = 3.1702 Å, c = 24.5684 Å
α = 90.00°, β = 90.00°, γ = 120.00°
Last column: nearest neighbours and their distance in Å.
Space group R3m (No. 160, hexagonal axes)
Asymmetric unit:
Al: 0.0000 0.0000 0.0000 (multiplicity 3)  3 Ru 2.47
Al: 0.0000 0.0000 0.2448 (multiplicity 3)  3 Br 2.66, 3 Al 2.84
Ru: 0.0000 0.0000 0.7344 (multiplicity 3)  3 Al 2.47
Br: 0.0000 0.0000 0.4997 (multiplicity 3)  3 Al 2.66

---

Entry 8:
A plane-wave DFT calculation with PBE-GGA was carried out for Al2RuBr after structural relaxation.

As for the magnetic moment: 2.2 Bohr magnetons per cell. The uncorrected formation energy is 13.450 kcal/mol of atoms.

a = 6.4554 Å, b = 6.4554 Å, c = 6.4554 Å
α = 90.00°, β = 90.00°, γ = 90.00°
Last column: nearest neighbours and their distance in Å.
Space group Fm-3m (No. 225)
Asymmetric unit:
Al: 0.2500 0.2500 0.2500 (multiplicity 8)  4 Br 2.80, 4 Ru 2.80
Ru: 0.0000 0.0000 0.0000 (multiplicity 4)  8 Al 2.80
Br: 0.0000 0.0000 0.5000 (multiplicity 4)  8 Al 2.80

---

Entry 9:
A plane-wave DFT calculation with PBE-GGA was carried out for AlRu2Br after structural relaxation.

As for the magnetic moment: 0.0 Bohr magnetons per cell. The uncorrected formation energy is 14.130 kcal/mol of atoms.

a = 3.7246 Å, b = 3.7246 Å, c = 9.0139 Å
α = 90.00°, β = 90.00°, γ = 90.00°
Last column: nearest neighbours and their distance in Å.
Space group I-4m2 (No. 119)
Asymmetric unit:
Al: 0.0000 0.0000 0.0000 (multiplicity 2)  8 Ru 2.63-2.92, 4 Br 2.92
Ru: 0.0000 0.0000 0.5000 (multiplicity 2)  4 Al 2.63, 4 Br 2.92, 4 Ru 2.92
Ru: 0.0000 0.5000 0.2500 (multiplicity 2)  4 Br 2.63, 4 Ru 2.92, 4 Al 2.92
Br: 0.0000 0.5000 0.7500 (multiplicity 2)  8 Ru 2.63-2.92, 4 Al 2.92

---

Entry 10:
A plane-wave DFT calculation with PBE-GGA was carried out for AlRu2Br after structural relaxation.

As for the magnetic moment: 0.0 Bohr magnetons per cell. The uncorrected formation energy is 7.056 kcal/mol of atoms.

a = 3.0260 Å, b = 3.0260 Å, c = 24.5633 Å
α = 90.00°, β = 90.00°, γ = 120.00°
Last column: nearest neighbours and their distance in Å.
Space group R3m (No. 160, hexagonal axes)
Asymmetric unit:
Al: 0.0000 0.0000 0.0000 (multiplicity 3)  3 Ru 2.55, 3 Br 2.68
Ru: 0.0000 0.0000 0.2576 (multiplicity 3)  3 Al 2.55, 3 Ru 2.62
Ru: 0.0000 0.0000 0.5114 (multiplicity 3)  3 Ru 2.62, 3 Br 2.92
Br: 0.0000 0.0000 0.7496 (multiplicity 3)  3 Al 2.68, 3 Ru 2.92

---

Entry 11:
A plane-wave DFT calculation with PBE-GGA was carried out for Al2RuBr after structural relaxation.

As for the magnetic moment: 0.0 Bohr magnetons per cell. The uncorrected formation energy is 6.166 kcal/mol of atoms.

a = 3.1682 Å, b = 4.8616 Å, c = 8.8902 Å
α = 90.00°, β = 90.00°, γ = 90.00°
Last column: nearest neighbours and their distance in Å.
Space group Immm (No. 71)
Asymmetric unit:
Al: 0.0000 0.0000 0.2288 (multiplicity 4)  2 Ru 2.58, 2 Br 2.88
Ru: 0.0000 0.5000 0.5000 (multiplicity 2)  4 Al 2.58
Br: 0.0000 0.5000 0.0000 (multiplicity 2)  8 Al 2.88-3.17, 4 Ru 2.90, 2 Br 3.17

---

Entry 12:
A plane-wave DFT calculation with PBE-GGA was carried out for Al2RuBr after structural relaxation.

As for the magnetic moment: 0.0 Bohr magnetons per cell. The uncorrected formation energy is -4.023 kcal/mol of atoms.

a = 3.1490 Å, b = 3.3690 Å, c = 16.4963 Å
α = 90.00°, β = 90.00°, γ = 90.00°
Last column: nearest neighbours and their distance in Å.
Space group Imm2 (No. 44)
Asymmetric unit:
Al: 0.0000 0.0000 0.0000 (multiplicity 2)  4 Ru 2.47
Al: 0.0000 0.5000 0.1702 (multiplicity 2)  2 Ru 2.47
Ru: 0.0000 0.0000 0.5545 (multiplicity 2)  6 Al 2.47
Br: 0.0000 0.5000 0.7733 (multiplicity 2)  4 Al 2.86, 2 Br 3.15

---

Entry 13:
A plane-wave DFT calculation with PBE-GGA was carried out for AlRu2Br after structural relaxation.

As for the magnetic moment: 0.0 Bohr magnetons per cell. The uncorrected formation energy is 9.784 kcal/mol of atoms.

a = 2.9358 Å, b = 5.1033 Å, c = 8.5216 Å
α = 90.00°, β = 90.00°, γ = 90.00°
Last column: nearest neighbours and their distance in Å.
Space group Cmmm (No. 65)
Asymmetric unit:
Al: 0.0000 0.0000 0.0000 (multiplicity 2)  4 Ru 2.49
Ru: 0.0000 0.5000 0.2363 (multiplicity 4)  2 Al 2.49, 2 Br 2.68
Br: 0.0000 0.0000 0.5000 (multiplicity 2)  4 Ru 2.68, 6 Br 2.94

---

Entry 14:
A plane-wave DFT calculation with PBE-GGA was carried out for AlRuBr after structural relaxation.

As for the magnetic moment: 0.0 Bohr magnetons per cell. The uncorrected formation energy is 9.846 kcal/mol of atoms.

a = 4.3652 Å, b = 4.3652 Å, c = 3.0708 Å
α = 90.00°, β = 90.00°, γ = 120.00°
Last column: nearest neighbours and their distance in Å.
Space group P-6m2 (No. 187)
Asymmetric unit:
Al: 0.0000 0.0000 0.0000 (multiplicity 1)  6 Br 2.95, 6 Ru 2.95, 2 Al 3.07
Ru: 0.6667 0.3333 0.5000 (multiplicity 1)  3 Br 2.52
Br: 0.3333 0.6667 0.5000 (multiplicity 1)  3 Ru 2.52

---

Entry 15:
A plane-wave DFT calculation with PBE-GGA was carried out for Al2RuBr after structural relaxation.

As for the magnetic moment: 0.0 Bohr magnetons per cell. The uncorrected formation energy is 3.852 kcal/mol of atoms.

a = 3.0927 Å, b = 3.0927 Å, c = 7.6662 Å
α = 90.00°, β = 90.00°, γ = 90.00°
Last column: nearest neighbours and their distance in Å.
Space group P4mm (No. 99)
Asymmetric unit:
Al: 0.0000 0.0000 0.0000 (multiplicity 1)  4 Ru 2.54, 4 Al 2.80
Al: 0.5000 0.5000 0.2283 (multiplicity 1)  8 Al 2.80-3.09, 1 Ru 3.04
Ru: 0.5000 0.5000 0.8318 (multiplicity 1)  4 Al 2.54
Br: 0.0000 0.0000 0.5879 (multiplicity 1)  4 Ru 2.88, 4 Br 3.09, 1 Al 3.16